# 1
A geometry-optimized Ti3InO structure, computed with PBE.

Summary:
total magnetic moment: 1.9 Bohr magnetons per cell
calculated total energy: -6.9020 eV per atom

a = 4.7559 Å, b = 4.7559 Å, c = 8.0996 Å
α = 90.00°, β = 90.00°, γ = 120.00°
Fractional positions:
Ti (0.0000, 0.0000, 0.2500)
Ti (0.0000, 0.0000, 0.7500)
Ti (0.3333, 0.6667, 0.0931)
Ti (0.3333, 0.6667, 0.4069)
Ti (0.6667, 0.3333, 0.5931)
Ti (0.6667, 0.3333, 0.9069)
In (0.3333, 0.6667, 0.7500)
In (0.6667, 0.3333, 0.2500)
O (0.0000, 0.0000, 0.0000)
O (0.0000, 0.0000, 0.5000)



# 2
A geometry-optimized Ti2InO structure, computed with PBE.

Summary:
energy relative to the lowest polymorph listed for this composition: 1.43 kJ per mole of atoms
total magnetic moment: 0.0 Bohr magnetons per cell
calculated total energy: -7.1426 eV per atom

a = 6.9576 Å, b = 6.9576 Å, c = 6.9576 Å
α = 26.70°, β = 26.70°, γ = 26.70°
Fractional positions:
Ti (0.2169, 0.2169, 0.2169)
Ti (0.7831, 0.7831, 0.7831)
In (0.0000, 0.0000, 0.0000)
O (0.5000, 0.5000, 0.5000)



# 3
A geometry-optimized Ti3InO structure, computed with PBE.

Summary:
total magnetic moment: 0.0 Bohr magnetons per cell
calculated total energy: -7.3035 eV per atom

a = 7.9842 Å, b = 5.4275 Å, c = 7.7605 Å
α = 90.00°, β = 110.83°, γ = 90.00°
Fractional positions:
Ti (0.0415, 0.0986, 0.3388)
Ti (0.0415, 0.4014, 0.8388)
Ti (0.1685, 0.5606, 0.5376)
Ti (0.1685, 0.9394, 0.0376)
Ti (0.3303, 0.1371, 0.7454)
Ti (0.3303, 0.3629, 0.2454)
Ti (0.6697, 0.6371, 0.7546)
Ti (0.6697, 0.8629, 0.2546)
Ti (0.8315, 0.0606, 0.9624)
Ti (0.8315, 0.4394, 0.4624)
Ti (0.9585, 0.5986, 0.1612)
Ti (0.9585, 0.9014, 0.6612)
In (0.3761, 0.6647, 0.8989)
In (0.3761, 0.8353, 0.3989)
In (0.6239, 0.1647, 0.6011)
In (0.6239, 0.3353, 0.1011)
O (0.0624, 0.2381, 0.6015)
O (0.0624, 0.2619, 0.1015)
O (0.9376, 0.7381, 0.8985)
O (0.9376, 0.7619, 0.3985)